Density functional theory data (GGA-PBE) for crystalline PuAgS2 at its relaxed geometry.

Magnetization in μB per formula unit: 5.00
Formation energy (no corrections) in eV per atom: -1.06

Cell: 6.6017 4.1213 7.1035 Å, 90.00 92.31 90.00°
With the nearest neighbours (Å) after each atom.
Sites, in units of the cell vectors:
Pu 0.0004 0.2500 0.2450  6 S 2.71-2.80
Pu 0.9996 0.7500 0.7550  6 S 2.71-2.80
Ag 0.4003 0.2500 0.6263  4 S 2.50-2.75
Ag 0.5997 0.7500 0.3737  4 S 2.50-2.75
S 0.2110 0.2500 0.9246  1 Ag 2.50, 3 Pu 2.71-2.74
S 0.2194 0.7500 0.4272  3 Ag 2.55-2.75, 3 Pu 2.79-2.80
S 0.7806 0.2500 0.5728  3 Ag 2.55-2.75, 3 Pu 2.79-2.80
S 0.7890 0.7500 0.0754  1 Ag 2.50, 3 Pu 2.71-2.74